## Gd2Pt8N (PBE)

Data for Gd2Pt8N after structural relaxation.

The value obtained for the total energy is -6.5722 eV per atom. The value obtained for the total magnetic moment is 0.00 Bohr magnetons per cell. The space group is No. 38.

Unit cell a=4.385 b=8.582 c=8.582 alpha=143.15 beta=90.00 gamma=90.00
Positions (direct):
Pt 0.500 0.925 0.925
Pt 0.000 0.129 0.929
Pt 0.000 0.604 0.604
Pt 0.000 0.929 0.129
Pt 0.500 0.803 0.197
Pt 0.000 0.500 0.986
Pt 0.000 0.986 0.500
Pt 0.500 0.197 0.803
N 0.000 0.246 0.246
Gd 0.500 0.373 0.621
Gd 0.500 0.621 0.373